No. 1
Below is CaTiO2 after structural relaxation, with properties calculated at the GGA-PBE level.

Values from the calculation:
M_tot	2.00	μB/cell
energy relative to the elements, uncorrected	-1972	meV per atom
total energy	-6.92	eV per atom

Cell: 3.9861 3.9861 3.9861 Å, 60.00 60.00 60.00°
Fractional coordinates of all 4 atoms:
1 Ca 0.0000 0.0000 0.0000
2 Ti 0.5000 0.5000 0.5000
3 O 0.2500 0.2500 0.2500
4 O 0.7500 0.7500 0.7500

No. 2
Below is Sr3Pa2P6Pd after structural relaxation, with properties calculated at the GGA-PBE level.

Values from the calculation:
M_tot	0.00	μB/cell
total energy	-6.09	eV per atom
calculated formation energy	-92	kJ/mol of atoms

Cell: 6.9588 6.9588 7.4462 Å, 100.80 100.80 117.46°
Fractional coordinates of all 12 atoms:
1 Sr 0.0000 0.0000 0.0000
2 Sr 0.3314 0.6686 0.0000
3 Sr 0.6686 0.3314 0.0000
4 Pa 0.1663 0.8337 0.5000
5 Pa 0.8337 0.1663 0.5000
6 P 0.1155 0.4339 0.2983
7 P 0.2147 0.2147 0.7318
8 P 0.4339 0.1155 0.2983
9 P 0.5661 0.8845 0.7017
10 P 0.7853 0.7853 0.2682
11 P 0.8845 0.5661 0.7017
12 Pd 0.5000 0.5000 0.5000

What volume values result from the calculations? In sequence: 45 298 Å³/cell.